Record 1
Re2BrN PBE optimized geometry; symmetry = No. 225; energy relative to the lowest polymorph listed for this composition = 882 meV per atom; raw formation energy = 1.8287 eV per atom
1.0
-1.191 -3.458 2.061
-4.081 -0.832 0.521
-1.777 -3.180 -2.086
Re Br N
2 1 1
direct
0.250 0.250 0.250
0.750 0.750 0.750
0.500 0.500 0.500
0.000 0.000 0.000

=====

Record 2
Tb2ZrTl3S6 PBE optimized geometry; symmetry = No. 12; raw formation energy = -1.3359 eV per atom
1.0
-5.554 -3.709 1.028
5.031 -0.145 4.508
-3.084 8.431 0.746
Tb Zr Tl S
2 1 3 6
direct
0.334 0.666 0.000
0.666 0.334 0.000
0.000 0.000 0.000
0.170 0.830 0.500
0.830 0.170 0.500
0.500 0.500 0.500
0.893 0.577 0.817
0.794 0.794 0.186
0.107 0.423 0.183
0.577 0.893 0.817
0.206 0.206 0.814
0.423 0.107 0.183

=====

Record 3
HfRePOs PBE optimized geometry; formation energy = -164.8 meV/atom; symmetry = No. 8; energy relative to the lowest polymorph listed for this composition = 201 meV per atom
1.0
-0.260 -4.191 -4.757
-0.217 -2.310 2.047
-6.585 4.104 3.933
Hf Re P Os
2 2 2 2
direct
0.920 0.000 0.973
0.920 0.500 0.473
0.278 0.000 0.850
0.278 0.500 0.350
0.345 0.000 0.596
0.345 0.500 0.096
0.726 0.000 0.608
0.726 0.500 0.108

=====

Record 4
TbPrZnSi PBE optimized geometry; symmetry = No. 38; energy relative to the lowest polymorph listed for this composition = 0 meV per atom; raw formation energy = -0.5277 eV per atom
1.0
4.262 0.000 0.000
0.000 4.097 0.000
-2.131 0.000 5.603
Tb Pr Zn Si
1 1 1 1
direct
0.861 0.500 0.723
0.147 0.000 0.293
0.564 0.500 0.129
0.428 0.000 0.855